# Ca2TaMnO6, relaxed, DFT GGA+U
data_Ca2TaMnO6
_symmetry_space_group_name_H-M 'P 1 21/m 1'
_symmetry_Int_Tables_number 11
_cell_length_a 5.521
_cell_length_b 7.706
_cell_length_c 5.742
_cell_angle_alpha 90.00
_cell_angle_beta 93.95
_cell_angle_gamma 90.00
loop_
_symmetry_equiv_pos_as_xyz
'x,y,z'
'-x,-y,-z'
'-x,y+1/2,-z'
'x,-y+1/2,z'
loop_
_atom_site_label
_atom_site_type_symbol
_atom_site_fract_x
_atom_site_fract_y
_atom_site_fract_z
Ca1 Ca 0.006 0.250 0.434
Ca2 Ca 0.482 0.250 0.952
Ta1 Ta 0.500 0.000 0.500
Mn1 Mn 0.000 0.000 0.000
O1 O 0.095 0.750 0.972
O2 O 0.219 0.049 0.685
O3 O 0.298 0.048 0.203
O4 O 0.402 0.750 0.472
# Total energy (eV per atom): -8.00
# Density of states at the Fermi level (states/eV per cell): 0.04